Computed, not measured: a geometry-optimized PrGe2RuPt structure at the PBE level of DFT.

Calculated values
VASP energy in eV per atom: -6.6402

a = 6.100 Å, b = 6.100 Å, c = 6.100 Å
α = 139.62°, β = 139.62°, γ = 58.42°
Fractional positions:
Pr 0.000 0.000 0.000
Ge 0.377 0.377 0.000
Ge 0.623 0.623 0.000
Ru 0.250 0.750 0.500
Pt 0.750 0.250 0.500